i:
Compound: ZrNi3Hg
Source: the Alexandria database
Functional: GGA-PBE
Structure: relaxed

Cell: 4.638 4.638 4.638 Å, 90.00 90.00 90.00°
Sites, in units of the cell vectors:
Ni 0.000 0.500 0.000
Ni 0.000 0.000 0.500
Ni 0.500 0.000 0.000
Hg 0.500 0.500 0.500
Zr 0.000 0.000 0.000

Output
DOS at the Fermi energy = 0.66 states/eV per atom
volume = 19.948 A^3/atom
total moment = 0.00 μB per formula unit
space-group type = No. 221



ii:
Compound: ZrNi3Hg
Source: the Alexandria database
Functional: GGA-PBE
Structure: relaxed

Cell: 4.638 4.638 4.638 Å, 90.00 90.00 90.00°
Sites, in units of the cell vectors:
Ni 0.000 0.500 0.000
Ni 0.000 0.000 0.500
Ni 0.500 0.000 0.000
Hg 0.000 0.000 0.000
Zr 0.500 0.500 0.500

Output
DOS at the Fermi energy = 1.97 states/eV per atom
volume = 19.959 A^3/atom
total moment = 0.00 μB per formula unit
space-group type = No. 221



Decreasing stability: ii, i